Entry from OQMD via LeMat-Bulk: HfScPa after structural relaxation (PBE).

Lattice parameters (Å, degrees): 6.991 6.991 6.991 90.00 90.00 90.00
Space group F-43m (No. 216)
Inequivalent atoms, fractional coordinates:
Hf1 0.000 0.000 0.000 (multiplicity 4)
Sc1 0.000 0.000 0.500 (multiplicity 4)
Pa1 0.250 0.250 0.250 (multiplicity 4)

Results
Formation energy from the elements: 3.55 eV/f.u.



Entry from OQMD via LeMat-Bulk: HfPaSi after structural relaxation (PBE).

Lattice parameters (Å, degrees): 6.530 6.530 6.530 90.00 90.00 90.00
Space group F-43m (No. 216)
Inequivalent atoms, fractional coordinates:
Hf1 0.000 0.000 0.000 (multiplicity 4)
Pa1 0.000 0.000 0.500 (multiplicity 4)
Si1 0.250 0.250 0.250 (multiplicity 4)



Entry from OQMD via LeMat-Bulk: HfPaSi after structural relaxation (PBE).

Lattice parameters (Å, degrees): 6.719 6.719 6.719 90.00 90.00 90.00
Space group F-43m (No. 216)
Inequivalent atoms, fractional coordinates:
Hf1 0.000 0.000 0.000 (multiplicity 4)
Pa1 0.250 0.250 0.250 (multiplicity 4)
Si1 0.000 0.000 0.500 (multiplicity 4)



no.,final energy (eV/atom)
1,-7.411
2,-8.285
3,-7.372